PBE-GGA Cs5Rb5I, optimized geometry; space group = No. 12; DOS at the Fermi energy = 0.800 states/eV/atom; raw formation energy = -0.224 eV per atom; size of the total moment = 0.0 μB/f.u.
1.0
7.417 0.000 2.423
2.527 10.972 4.826
-0.287 -0.202 13.439
Cs Rb I
5 5 1
Direct
0.155 0.662 0.028
0.845 0.338 0.972
0.133 0.056 0.678
0.500 0.000 0.000
0.867 0.944 0.322
0.246 0.240 0.268
0.000 0.500 0.500
0.598 0.510 0.295
0.402 0.490 0.705
0.754 0.760 0.732
0.000 0.000 0.000